Record 1
This record from Alexandria describes an optimized crystal structure of Tl2ReSe. The functional is PBE.

DOS(E_F) in states/eV/f.u.: 2.892
Magnetization in μB/f.u.: 2.317

Cell lengths 10.8681, 10.8681, 10.8681 Å; angles 157.48, 157.48, 32.07 degrees
Element x y z (fractional)
Tl 0.1161 0.6250 0.9911
Tl 0.3750 0.3661 0.4911
Tl 0.6339 0.1250 0.0089
Tl 0.8750 0.8839 0.5089
Re 0.0000 0.0000 0.0000
Re 0.7500 0.2500 0.5000
Se 0.2500 0.7500 0.5000
Se 0.5000 0.5000 0.0000

***

Record 2
This record from Alexandria describes an optimized crystal structure of Tl2ReSe. The functional is PBE.

DOS(E_F) in states/eV/f.u.: 3.650
Magnetization in μB/f.u.: 1.142

Cell lengths 5.4084, 5.4084, 5.4084 Å; angles 131.76, 131.76, 70.60 degrees
Element x y z (fractional)
Tl 0.0000 0.0000 0.0000
Tl 0.7500 0.2500 0.5000
Re 0.2500 0.7500 0.5000
Se 0.5000 0.5000 0.0000

***

Record 3
This record from Alexandria describes an optimized crystal structure of TlRe2Se4. The functional is PBE.

DOS(E_F) in states/eV/f.u.: 5.693
Magnetization in μB/f.u.: 0.000

Cell lengths 7.2706, 7.2762, 7.9712 Å; angles 115.63, 117.00, 91.41 degrees
Element x y z (fractional)
Tl 0.0000 0.0000 0.0000
Tl 0.2856 0.7914 0.4993
Re 0.2501 0.4141 0.8077
Re 0.6395 0.4078 0.8014
Re 0.6804 0.3445 0.3084
Re 0.6813 0.9477 0.3012
Se 0.4376 0.5987 0.2156
Se 0.4449 0.1706 0.3749
Se 0.4822 0.1854 0.8920
Se 0.4889 0.7171 0.8740
Se 0.8428 0.6059 0.2162
Se 0.8967 0.1604 0.7167
Se 0.9035 0.5649 0.7160
Se 0.9930 0.1960 0.3907

***

Record 4
This record from Alexandria describes an optimized crystal structure of Tl2ReSe. The functional is PBE.

DOS(E_F) in states/eV/f.u.: 2.824
Magnetization in μB/f.u.: 0.000

Cell lengths 3.1497, 3.1497, 9.6317 Å; angles 90.00, 90.00, 90.00 degrees
Element x y z (fractional)
Tl 0.0000 0.0000 0.0000
Tl 0.5000 0.5000 0.3119
Re 0.0000 0.0000 0.5466
Se 0.5000 0.5000 0.6737

***

Record 5
This record from Alexandria describes an optimized crystal structure of TlRe3Se. The functional is PBE.

DOS(E_F) in states/eV/f.u.: 2.840
Magnetization in μB/f.u.: 1.751

Cell lengths 4.6029, 4.6029, 4.6029 Å; angles 90.00, 90.00, 90.00 degrees
Element x y z (fractional)
Tl 0.0000 0.0000 0.0000
Re 0.0000 0.5000 0.5000
Re 0.5000 0.0000 0.5000
Re 0.5000 0.5000 0.0000
Se 0.5000 0.5000 0.5000

***

Record 6
This record from Alexandria describes an optimized crystal structure of Tl2ReSe. The functional is PBE.

DOS(E_F) in states/eV/f.u.: 2.763
Magnetization in μB/f.u.: 0.000

Cell lengths 4.7079, 4.6961, 5.0701 Å; angles 90.00, 104.01, 90.00 degrees
Element x y z (fractional)
Tl 0.1981 0.0000 0.3101
Tl 0.8019 0.0000 0.6899
Re 0.0000 0.5000 0.0000
Se 0.5000 0.5000 0.0000

***

Record 7
This record from Alexandria describes an optimized crystal structure of Tl2ReSe. The functional is PBE.

DOS(E_F) in states/eV/f.u.: 3.883
Magnetization in μB/f.u.: 0.236

Cell lengths 10.6826, 10.6826, 10.6826 Å; angles 17.58, 17.58, 17.58 degrees
Element x y z (fractional)
Tl 0.0000 0.0000 0.0000
Tl 0.2410 0.2410 0.2410
Re 0.7428 0.7428 0.7428
Se 0.4595 0.4595 0.4595

***

Record 8
This record from Alexandria describes an optimized crystal structure of TlReSe3. The functional is PBE.

DOS(E_F) in states/eV/f.u.: 3.780
Magnetization in μB/f.u.: 0.000

Cell lengths 9.4774, 6.2370, 8.8672 Å; angles 90.00, 110.53, 90.00 degrees
Element x y z (fractional)
Tl 0.0495 0.1808 0.1382
Tl 0.0495 0.3192 0.6382
Tl 0.9505 0.6808 0.3618
Tl 0.9505 0.8192 0.8618
Re 0.4445 0.7027 0.9043
Re 0.4445 0.7973 0.4043
Re 0.5555 0.2027 0.5957
Re 0.5555 0.2973 0.0957
Se 0.1954 0.6291 0.2156
Se 0.1954 0.8709 0.7156
Se 0.2966 0.0688 0.4755
Se 0.2966 0.4312 0.9755
Se 0.4442 0.5651 0.6369
Se 0.4442 0.9349 0.1369
Se 0.5558 0.0651 0.8631
Se 0.5558 0.4349 0.3631
Se 0.7034 0.5688 0.0245
Se 0.7034 0.9312 0.5245
Se 0.8046 0.1291 0.2844
Se 0.8046 0.3709 0.7844

***

Record 9
This record from Alexandria describes an optimized crystal structure of Tl2ReSe. The functional is PBE.

DOS(E_F) in states/eV/f.u.: 2.795
Magnetization in μB/f.u.: 0.000

Cell lengths 7.2309, 7.2309, 7.2309 Å; angles 154.74, 142.08, 46.11 degrees
Element x y z (fractional)
Tl 0.0000 0.0000 0.0000
Tl 0.6828 0.1828 0.5000
Re 0.2153 0.7153 0.5000
Se 0.3569 0.3569 0.0000

***

Record 10
This record from Alexandria describes an optimized crystal structure of Tl4ReSe. The functional is PBE.

DOS(E_F) in states/eV/f.u.: 5.798
Magnetization in μB/f.u.: 3.846

Cell lengths 6.2454, 6.2454, 6.2454 Å; angles 60.00, 60.00, 60.00 degrees
Element x y z (fractional)
Tl 0.1250 0.1250 0.1250
Tl 0.1250 0.1250 0.6249
Tl 0.1250 0.6249 0.1250
Tl 0.6249 0.1250 0.1250
Re 0.7500 0.7500 0.7500
Se 0.5000 0.5000 0.5000

***

Record 11
This record from Alexandria describes an optimized crystal structure of Tl2ReSe. The functional is PBE.

DOS(E_F) in states/eV/f.u.: 2.869
Magnetization in μB/f.u.: 0.440

Cell lengths 5.4368, 5.4368, 6.5823 Å; angles 111.37, 111.37, 33.95 degrees
Element x y z (fractional)
Tl 0.0000 0.0000 0.0000
Tl 0.1732 0.1732 0.6420
Re 0.7453 0.7453 0.0478
Se 0.3344 0.3344 0.3510

***

Record 12
This record from Alexandria describes an optimized crystal structure of Tl2ReSe. The functional is PBE.

DOS(E_F) in states/eV/f.u.: 3.922
Magnetization in μB/f.u.: 0.000

Cell lengths 4.9873, 4.9873, 4.9873 Å; angles 60.00, 60.00, 60.00 degrees
Element x y z (fractional)
Tl 0.2500 0.2500 0.2500
Tl 0.7500 0.7500 0.7500
Re 0.0000 0.0000 0.0000
Se 0.5000 0.5000 0.5000

***

Record 13
This record from Alexandria describes an optimized crystal structure of Tl2ReSe. The functional is PBE.

DOS(E_F) in states/eV/f.u.: 2.710
Magnetization in μB/f.u.: 0.000

Cell lengths 3.2228, 3.2228, 10.6864 Å; angles 90.00, 90.00, 120.15 degrees
Element x y z (fractional)
Tl 0.0000 0.0000 0.0000
Tl 0.5000 0.5000 0.2854
Re 0.5000 0.5000 0.7659
Se 0.0000 0.0000 0.5983

***

Record 14
This record from Alexandria describes an optimized crystal structure of TlRe4Se. The functional is PBE.

DOS(E_F) in states/eV/f.u.: 5.751
Magnetization in μB/f.u.: 0.000

Cell lengths 5.3163, 5.3163, 5.3163 Å; angles 60.00, 60.00, 60.00 degrees
Element x y z (fractional)
Tl 0.0000 0.0000 0.0000
Re 0.1288 0.6237 0.6237
Re 0.6237 0.1288 0.6237
Re 0.6237 0.6237 0.1288
Re 0.6237 0.6237 0.6237
Se 0.2500 0.2500 0.2500

***

Record 15
This record from Alexandria describes an optimized crystal structure of Tl2ReSe. The functional is PBE.

DOS(E_F) in states/eV/f.u.: 2.362
Magnetization in μB/f.u.: 0.415

Cell lengths 8.2779, 8.2779, 8.2779 Å; angles 158.27, 151.50, 36.13 degrees
Element x y z (fractional)
Tl 0.1726 0.1726 0.0000
Tl 0.8274 0.8274 0.0000
Re 0.0000 0.5000 0.5000
Se 0.5000 0.0000 0.5000

***

Record 16
This record from Alexandria describes an optimized crystal structure of Tl2Re3Se6. The functional is PBE.

Magnetization in μB/f.u.: 0.000

Cell lengths 10.1743, 10.1743, 12.4771 Å; angles 90.39, 90.39, 59.98 degrees
Element x y z (fractional)
Tl 0.0926 0.9074 0.7500
Tl 0.1473 0.6409 0.5072
Tl 0.2876 0.7124 0.2500
Tl 0.3591 0.8527 0.9928
Tl 0.6409 0.1473 0.0072
Tl 0.7124 0.2876 0.7500
Tl 0.8527 0.3591 0.4928
Tl 0.9074 0.0926 0.2500
Re 0.0311 0.3828 0.8745
Re 0.0981 0.3207 0.0826
Re 0.1864 0.4910 0.9776
Re 0.3207 0.0981 0.5826
Re 0.3828 0.0311 0.3745
Re 0.4910 0.1864 0.4776
Re 0.5090 0.8136 0.5224
Re 0.6172 0.9689 0.6255
Re 0.6793 0.9019 0.4174
Re 0.8136 0.5090 0.0224
Re 0.9019 0.6793 0.9174
Re 0.9689 0.6172 0.1255
Se 0.0555 0.7767 0.0209
Se 0.0649 0.2239 0.6969
Se 0.1137 0.5494 0.7807
Se 0.2069 0.3023 0.4379
Se 0.2233 0.9445 0.4791
Se 0.2239 0.0649 0.1969
Se 0.2443 0.4303 0.1752
Se 0.3023 0.2069 0.9379
Se 0.4303 0.2443 0.6752
Se 0.4343 0.4894 0.9208
Se 0.4506 0.8863 0.7193
Se 0.4894 0.4343 0.4208
Se 0.5106 0.5657 0.5792
Se 0.5494 0.1137 0.2807
Se 0.5657 0.5106 0.0792
Se 0.5697 0.7557 0.3248
Se 0.6977 0.7931 0.0621
Se 0.7557 0.5697 0.8248
Se 0.7761 0.9351 0.8031
Se 0.7767 0.0555 0.5209
Se 0.7931 0.6977 0.5621
Se 0.8863 0.4506 0.2193
Se 0.9351 0.7761 0.3031
Se 0.9445 0.2233 0.9791

***

Record 17
This record from Alexandria describes an optimized crystal structure of Tl2ReSe. The functional is PBE.

DOS(E_F) in states/eV/f.u.: 2.757
Magnetization in μB/f.u.: 0.001

Cell lengths 12.2704, 12.2704, 12.2704 Å; angles 13.90, 13.90, 13.90 degrees
Element x y z (fractional)
Tl 0.2394 0.2394 0.2394
Tl 0.7606 0.7606 0.7606
Re 0.5000 0.5000 0.5000
Se 0.0000 0.0000 0.0000

***

Record 18
This record from Alexandria describes an optimized crystal structure of TlReSe3. The functional is PBE.

DOS(E_F) in states/eV/f.u.: 5.259
Magnetization in μB/f.u.: 0.000

Cell lengths 4.9879, 4.9879, 4.9879 Å; angles 90.00, 90.00, 90.00 degrees
Element x y z (fractional)
Tl 0.0000 0.0000 0.0000
Re 0.5000 0.5000 0.5000
Se 0.0000 0.5000 0.5000
Se 0.5000 0.0000 0.5000
Se 0.5000 0.5000 0.0000

***

Record 19
This record from Alexandria describes an optimized crystal structure of TlReSe4. The functional is PBE.

DOS(E_F) in states/eV/f.u.: 2.397
Magnetization in μB/f.u.: 5.287

Cell lengths 5.8599, 5.8599, 5.8599 Å; angles 60.00, 60.00, 60.00 degrees
Element x y z (fractional)
Tl 0.0000 0.0000 0.0000
Re 0.7500 0.7500 0.7500
Se 0.3764 0.3764 0.3764
Se 0.3764 0.3764 0.8709
Se 0.3764 0.8709 0.3764
Se 0.8709 0.3764 0.3764

***

Record 20
This record from Alexandria describes an optimized crystal structure of Tl2ReSe. The functional is PBE.

DOS(E_F) in states/eV/f.u.: 3.257
Magnetization in μB/f.u.: 0.000

Cell lengths 5.3581, 5.3581, 3.0468 Å; angles 90.00, 90.00, 104.45 degrees
Element x y z (fractional)
Tl 0.0000 0.5000 0.0000
Tl 0.5000 0.0000 0.0000
Re 0.0000 0.0000 0.5000
Se 0.5000 0.5000 0.5000

***

Number 1: energy -4.112 eV per atom. Number 2: energy -4.113 eV per atom. Number 3: energy -5.830 eV per atom. Number 4: energy -4.866 eV per atom. Number 5: energy -6.872 eV per atom. Number 6: energy -4.508 eV per atom. Number 7: energy -4.908 eV per atom. Number 8: energy -5.193 eV per atom. Number 9: energy -4.739 eV per atom. Number 10: energy -3.158 eV per atom. Number 11: energy -4.757 eV per atom. Number 12: energy -3.967 eV per atom. Number 13: energy -4.633 eV per atom. Number 14: energy -8.248 eV per atom. Number 15: energy -4.633 eV per atom. Number 16: energy -6.149 eV per atom. Number 17: energy -4.319 eV per atom. Number 18: energy -4.854 eV per atom. Number 19: energy -3.662 eV per atom. Number 20: energy -4.257 eV per atom.